Computed, not measured: a relaxed CuAgBi2S4 crystal at the PBE level of DFT.

Cell lengths 6.3655, 7.9245, 8.3763 Å; angles 90.00, 90.00, 90.00 degrees
Fractional coordinates of all 16 atoms:
S: 0.8895 0.3082 0.7672
Bi: 0.4791 0.3192 0.2554
Ag: 0.5034 0.8278 0.0000
Cu: 0.5005 0.8248 0.5000
S: 0.8895 0.3082 0.2328
Bi: 0.4791 0.3192 0.7446
S: 0.3985 0.1057 0.5000
Bi: 0.9791 0.6808 0.7554
Cu: 0.0005 0.1752 0.0000
Ag: 0.0034 0.1722 0.5000
S: 0.3895 0.6918 0.7328
S: 0.3895 0.6918 0.2672
S: 0.3603 0.1401 0.0000
S: 0.8603 0.8599 0.5000
S: 0.8985 0.8943 0.0000
Bi: 0.9791 0.6808 0.2446

magnetic moment = 0.0 μB per formula unit
energy = -4.095 eV per atom
SG = Pmn2_1, No. 31
formation energy (no corrections) = -0.19 eV/atom
V = 422.5 Å³ per cell

=====

Computed, not measured: a relaxed BaCuIr2 crystal at the PBE level of DFT.

Cell lengths 9.8834, 9.8834, 9.8834 Å; angles 17.41, 17.41, 17.41 degrees
Fractional coordinates of all 4 atoms:
Ir: 0.0011 0.0011 0.0011
Ir: 0.2644 0.2644 0.2644
Ba: 0.5001 0.5001 0.5001
Cu: 0.7345 0.7345 0.7345

magnetic moment = 0.0 μB per formula unit
energy = -5.121 eV per atom
SG = R3m, No. 160
ΔH_f (0 K) = 0.81 eV/atom
V = 75.4 Å³ per cell

=====

Computed, not measured: a relaxed BaSr2CaAl crystal at the PBE level of DFT.

Cell lengths 6.4001, 6.4001, 6.1115 Å; angles 90.00, 90.00, 90.00 degrees
Fractional coordinates of all 5 atoms:
Sr: 0.0000 0.5000 0.0000
Ba: 0.5000 0.5000 0.5000
Ca: 0.0000 0.0000 0.5000
Al: 0.0000 0.0000 0.0000
Sr: 0.5000 0.0000 0.0000

magnetic moment = 0.0 μB per formula unit
energy = -2.149 eV per atom
SG = P4/mmm, No. 123
ΔH_f (0 K) = 0.06 eV/atom
V = 250.3 Å³ per cell

=====

Computed, not measured: a relaxed YZr2Te crystal at the PBE level of DFT.

Cell lengths 4.2191, 4.5193, 5.0347 Å; angles 90.00, 90.00, 90.00 degrees
Fractional coordinates of all 4 atoms:
Zr: 0.0000 0.0000 0.0000
Zr: 0.5000 0.5000 0.0000
Y: 0.0000 0.5000 0.5000
Te: 0.5000 0.0000 0.5000

magnetic moment = 0.0 μB per formula unit
energy = -6.993 eV per atom
SG = Pmmm, No. 47
formation energy (no corrections) = -0.32 eV/atom
V = 96.0 Å³ per cell

=====

Computed, not measured: a relaxed LaCr4 crystal at the PBE level of DFT.

Cell lengths 6.2062, 6.2062, 6.2062 Å; angles 143.70, 143.70, 52.27 degrees
Fractional coordinates of all 5 atoms:
Cr: 0.2500 0.7500 0.5000
Cr: 0.7500 0.2500 0.5000
La: 0.0000 0.0000 0.0000
Cr: 0.3678 0.3678 0.0000
Cr: 0.6322 0.6322 0.0000

magnetic moment = 0.0 μB per formula unit
energy = -8.241 eV per atom
SG = I4/mmm, No. 139
ΔH_f (0 K) = 0.44 eV/atom
V = 83.3 Å³ per cell

=====

Computed, not measured: a relaxed NiHPd2Ru crystal at the PBE level of DFT.

Cell lengths 3.9050, 3.9050, 3.8697 Å; angles 90.00, 90.00, 90.00 degrees
Fractional coordinates of all 5 atoms:
Pd: 0.0000 0.5000 0.0000
Pd: 0.5000 0.0000 0.0000
Ru: 0.0000 0.0000 0.5000
H: 0.0000 0.0000 0.0000
Ni: 0.5000 0.5000 0.5000

magnetic moment = 0.0 μB per formula unit
energy = -5.558 eV per atom
SG = P4/mmm, No. 123
V = 59.0 Å³ per cell

=====

Computed, not measured: a relaxed Ac2PuAl6 crystal at the PBE level of DFT.

Cell lengths 3.8554, 8.1782, 8.1782 Å; angles 59.99, 90.00, 90.00 degrees
Each line ends with the local moment (μB).
Fractional coordinates of all 9 atoms:
Ac: 0.0000 0.6667 0.6667  0.00
Al: 0.5002 0.0000 0.3255  -0.01
Al: 0.4998 0.0000 0.6745  -0.01
Pu: 0.0000 0.0000 0.0000  5.31
Al: 0.4998 0.6745 0.0000  -0.01
Al: 0.5000 0.3255 0.6745  -0.01
Al: 0.5000 0.6745 0.3255  -0.01
Ac: 0.0000 0.3333 0.3333  0.00
Al: 0.5002 0.3255 0.0000  -0.01

magnetic moment = 5.6 μB per formula unit
energy = -5.264 eV per atom
SG = P6/mmm, No. 191
ΔH_f (0 K) = -0.26 eV/atom
V = 223.3 Å³ per cell

=====

The highest V belongs to which entry?
CuAgBi2S4

=====

Among the records above, which one has the highest magnetic moment?
Ac2PuAl6